Material: AgSnI2
Method: DFT, PBE-GGA
State: optimized geometry

a b c (Å): 8.2218 8.2218 8.1959
angles (deg): 90.00 90.00 90.00
With the nearest neighbours (Å) after each atom.
Space group I-42d (No. 122)
Inequivalent atoms, fractional coordinates:
Ag: 0.0000 0.0000 0.0000 (multiplicity 4)  4 I 2.92
Sn: 0.0000 0.0000 0.5000 (multiplicity 4)  4 I 3.26
I: 0.2185 0.2500 0.1250 (multiplicity 8)  2 Ag 2.92, 2 Sn 3.26

Output
For the energy relative to the elements, uncorrected, the calculation gives 0.0 eV/f.u. The mass density is 5.76 g cm⁻³.



Material: AgSnI3
Method: DFT, PBE-GGA
State: optimized geometry

a b c (Å): 4.6434 9.2205 10.1863
angles (deg): 99.72 103.14 90.04
With the nearest neighbours (Å) after each atom.
Space group P-1 (No. 2)
Inequivalent atoms, fractional coordinates:
Ag: 0.1154 0.3539 0.2300 (multiplicity 2)  4 I 2.83-2.88
Sn: 0.3614 0.1522 0.7252 (multiplicity 2)  6 I 3.10-3.40
I: 0.0288 0.7726 0.0562 (multiplicity 2)  1 Ag 2.88, 2 Sn 3.17
I: 0.1893 0.1109 0.3779 (multiplicity 2)  1 Ag 2.88
I: 0.3430 0.4786 0.6870 (multiplicity 2)  2 Ag 2.83, 1 Sn 3.10

Output
For the energy relative to the elements, uncorrected, the calculation gives -1.7 eV/f.u. The value obtained for the relative energy among the computed polymorphs is 0.018 eV/atom. The mass density is 4.82 g cm⁻³.



Material: Ag2Sn4I9
Method: DFT, PBE-GGA
State: optimized geometry

a b c (Å): 7.7696 7.8184 23.5342
angles (deg): 85.17 83.66 65.09
With the nearest neighbours (Å) after each atom.
Space group P-1 (No. 2)
Inequivalent atoms, fractional coordinates:
Ag: 0.0131 0.0987 0.3657 (multiplicity 2)  4 I 2.82-2.92
Ag: 0.0847 0.9434 0.1965 (multiplicity 2)  4 I 2.81-3.03
Sn: 0.1994 0.3498 0.5083 (multiplicity 2)  2 I 3.03-3.05, 1 Sn 3.04
Sn: 0.3252 0.3260 0.9952 (multiplicity 2)  5 I 3.04-3.37
Sn: 0.3436 0.3057 0.6794 (multiplicity 2)  3 I 2.98-3.15
Sn: 0.3461 0.2957 0.1700 (multiplicity 2)  6 I 3.12-3.31
I: 0.0012 0.2856 0.2524 (multiplicity 2)  2 Ag 2.87-2.92, 1 Sn 3.15
I: 0.0164 0.2630 0.6222 (multiplicity 2)  1 Ag 2.92, 2 Sn 3.05-3.15
I: 0.0430 0.5933 0.0824 (multiplicity 2)  3 Sn 3.04-3.37
I: 0.2919 0.0513 0.7842 (multiplicity 2)  1 Ag 2.89, 2 Sn 3.13-3.19
I: 0.2922 0.6231 0.5694 (multiplicity 2)  1 Ag 2.85, 1 Sn 3.03
I: 0.2963 0.0028 0.0862 (multiplicity 2)  1 Ag 3.03, 2 Sn 3.24-3.31
I: 0.3483 0.6982 0.9343 (multiplicity 2)  3 Sn 3.11-3.23
I: 0.3771 0.6096 0.2361 (multiplicity 2)  1 Ag 2.81, 1 Sn 3.12
I: 0.3863 0.0029 0.3943 (multiplicity 2)  1 Ag 2.82, 1 Sn 2.98

Output
For the energy relative to the elements, uncorrected, the calculation gives -5.2 eV/f.u. The mass density is 4.73 g cm⁻³.



Material: Ag2Sn2I
Method: DFT, PBE-GGA
State: optimized geometry

a b c (Å): 8.5615 8.5615 3.5906
angles (deg): 90.00 90.00 90.00
With the nearest neighbours (Å) after each atom.
Space group P4/mbm (No. 127)
Inequivalent atoms, fractional coordinates:
Ag: 0.1580 0.3419 0.0000 (multiplicity 4)  6 Sn 3.05-3.11
Sn: 0.1385 0.6385 0.5000 (multiplicity 4)  6 Ag 3.05-3.11, 2 I 3.31, 1 Sn 3.35
I: 0.0000 0.0000 0.5000 (multiplicity 2)  4 Sn 3.31, 2 I 3.59, 8 Ag 3.69

Output
For the energy relative to the elements, uncorrected, the calculation gives 0.7 eV/f.u. The value obtained for the relative energy among the computed polymorphs is 0.037 eV/atom. The mass density is 7.32 g cm⁻³.



Material: AgSnI3
Method: DFT, PBE-GGA
State: optimized geometry

a b c (Å): 5.6973 5.6973 5.6973
angles (deg): 90.00 90.00 90.00
With the nearest neighbours (Å) after each atom.
Space group Pm-3m (No. 221)
Inequivalent atoms, fractional coordinates:
Ag: 0.0000 0.0000 0.0000 (multiplicity 1)  6 I 2.85
Sn: 0.5000 0.5000 0.5000 (multiplicity 1)  12 I 4.03
I: 0.0000 0.0000 0.5000 (multiplicity 3)  2 Ag 2.85

Output
For the energy relative to the elements, uncorrected, the calculation gives 0.3 eV/f.u. The value obtained for the relative energy among the computed polymorphs is 0.424 eV/atom. The mass density is 5.45 g cm⁻³.



Material: Ag2SnI
Method: DFT, PBE-GGA
State: optimized geometry

a b c (Å): 3.6818 3.6818 28.3591
angles (deg): 90.00 90.00 120.00
With the nearest neighbours (Å) after each atom.
Space group R-3m (No. 166, hexagonal axes)
Inequivalent atoms, fractional coordinates:
Ag: 0.0000 0.0000 0.0982 (multiplicity 6)  1 I 2.78, 3 Sn 2.88
Sn: 0.0000 0.0000 0.5000 (multiplicity 3)  6 Ag 2.88
I: 0.0000 0.0000 0.0000 (multiplicity 3)  2 Ag 2.78

Output
For the energy relative to the elements, uncorrected, the calculation gives 0.6 eV/f.u. The value obtained for the relative energy among the computed polymorphs is 0.000 eV/atom. The mass density is 6.90 g cm⁻³.



Material: Ag2SnI4
Method: DFT, PBE-GGA
State: optimized geometry

a b c (Å): 6.6510 6.6510 6.8253
angles (deg): 90.00 90.00 90.00
With the nearest neighbours (Å) after each atom.
Space group P-42m (No. 111)
Inequivalent atoms, fractional coordinates:
Ag: 0.0000 0.5000 0.0000 (multiplicity 2)  4 I 2.87
Sn: 0.0000 0.0000 0.5000 (multiplicity 1)  4 I 3.10
I: 0.2699 0.2699 0.7596 (multiplicity 4)  2 Ag 2.87, 1 Sn 3.10

Output
For the energy relative to the elements, uncorrected, the calculation gives -2.1 eV/f.u. The value obtained for the relative energy among the computed polymorphs is 0.033 eV/atom. The mass density is 4.63 g cm⁻³.



Material: AgSnI2
Method: DFT, PBE-GGA
State: optimized geometry

a b c (Å): 7.8726 7.8726 7.8726
angles (deg): 90.00 90.00 90.00
With the nearest neighbours (Å) after each atom.
Space group Fm-3m (No. 225)
Inequivalent atoms, fractional coordinates:
Ag: 0.0000 0.0000 0.0000 (multiplicity 4)  8 I 3.41
Sn: 0.0000 0.0000 0.5000 (multiplicity 4)  8 I 3.41
I: 0.2500 0.2500 0.2500 (multiplicity 8)  4 Sn 3.41, 4 Ag 3.41

Output
For the energy relative to the elements, uncorrected, the calculation gives 0.3 eV/f.u. The mass density is 6.54 g cm⁻³.



Material: Ag5Sn3I12
Method: DFT, PBE-GGA
State: optimized geometry

a b c (Å): 18.1477 18.1477 18.1477
angles (deg): 90.00 90.00 90.00
With the nearest neighbours (Å) after each atom.
Space group Ia-3d (No. 230)
Inequivalent atoms, fractional coordinates:
Ag: 0.0000 0.0000 0.0000 (multiplicity 16)  6 I 3.02
Ag: 0.0000 0.2500 0.3750 (multiplicity 24)  4 I 2.80
Sn: 0.0000 0.2500 0.1250 (multiplicity 24)  8 I 3.43-3.46
I: 0.0250 0.0644 0.6513 (multiplicity 96)  2 Ag 2.80-3.02

Output
For the energy relative to the elements, uncorrected, the calculation gives -5.1 eV/f.u. The mass density is 5.38 g cm⁻³.



Material: Ag2Sn2I
Method: DFT, PBE-GGA
State: optimized geometry

a b c (Å): 4.4117 4.4117 13.8603
angles (deg): 90.00 90.00 90.00
With the nearest neighbours (Å) after each atom.
Space group I4/mmm (No. 139)
Inequivalent atoms, fractional coordinates:
Ag: 0.0000 0.0000 0.1047 (multiplicity 4)  1 Ag 2.90, 4 Sn 2.99
Sn: 0.0000 0.5000 0.2500 (multiplicity 4)  4 Ag 2.99, 4 Sn 3.12
I: 0.0000 0.0000 0.5000 (multiplicity 2)  8 Ag 3.44

Output
For the energy relative to the elements, uncorrected, the calculation gives 0.8 eV/f.u. The value obtained for the relative energy among the computed polymorphs is 0.046 eV/atom. The mass density is 7.14 g cm⁻³.



Material: AgSn2I6
Method: DFT, PBE-GGA
State: optimized geometry

a b c (Å): 7.3612 7.3612 13.6241
angles (deg): 90.00 90.00 90.00
With the nearest neighbours (Å) after each atom.
Space group P4_2/mnm (No. 136)
Inequivalent atoms, fractional coordinates:
Ag: 0.0000 0.0000 0.0000 (multiplicity 2)  6 I 3.02-3.07
Sn: 0.0000 0.0000 0.3343 (multiplicity 4)  6 I 3.10-3.14
I: 0.1988 0.1988 0.1613 (multiplicity 8)  1 Ag 3.02, 2 Sn 3.14
I: 0.2048 0.2048 0.5000 (multiplicity 4)  1 Ag 3.07, 2 Sn 3.10

Output
For the energy relative to the elements, uncorrected, the calculation gives -3.1 eV/f.u. The mass density is 4.98 g cm⁻³.



Material: Ag2SnI2
Method: DFT, PBE-GGA
State: optimized geometry

a b c (Å): 3.9132 3.9132 21.9685
angles (deg): 90.00 90.00 90.00
With the nearest neighbours (Å) after each atom.
Space group I4/mmm (No. 139)
Inequivalent atoms, fractional coordinates:
Ag: 0.0000 0.5000 0.2500 (multiplicity 4)  4 Ag 2.77
Sn: 0.0000 0.0000 0.0000 (multiplicity 2)  8 I 3.37
I: 0.0000 0.0000 0.4124 (multiplicity 4)  4 Sn 3.37

Output
For the energy relative to the elements, uncorrected, the calculation gives 0.4 eV/f.u. The value obtained for the relative energy among the computed polymorphs is 0.000 eV/atom. The mass density is 5.81 g cm⁻³.



Please write out number 7 again, unchanged.
Material: Ag2SnI4
Method: DFT, PBE-GGA
State: optimized geometry

a b c (Å): 6.6510 6.6510 6.8253
angles (deg): 90.00 90.00 90.00
With the nearest neighbours (Å) after each atom.
Space group P-42m (No. 111)
Inequivalent atoms, fractional coordinates:
Ag: 0.0000 0.5000 0.0000 (multiplicity 2)  4 I 2.87
Sn: 0.0000 0.0000 0.5000 (multiplicity 1)  4 I 3.10
I: 0.2699 0.2699 0.7596 (multiplicity 4)  2 Ag 2.87, 1 Sn 3.10

Output
For the energy relative to the elements, uncorrected, the calculation gives -2.1 eV/f.u. The value obtained for the relative energy among the computed polymorphs is 0.033 eV/atom. The mass density is 4.63 g cm⁻³.